[1]
## LiAl2As (PBE-GGA)

Data for a geometry-optimized LiAl2As structure.

```
8
Lattice="5.301 0.000 0.000 0.000 10.113 0.000 -1.533 0.000 2.549" Properties=species:S:1:pos:R:3 pbc="T T T"
Li 0.000 0.000 0.000
Li 2.651 5.056 0.000
Al 1.325 2.528 0.000
Al 1.325 7.585 0.000
Al 3.976 2.528 0.000
Al 3.976 7.585 0.000
As 0.000 5.056 0.000
As 2.651 0.000 0.000
```

Properties
- Formation energy from the elements: -0.14 eV per atom
- Space group: C2/m
- Crystal system: monoclinic

=====

[2]
## FeTcW2 (PBE-GGA)

Data for a geometry-optimized FeTcW2 structure.

```
16
Lattice="6.884 0.000 0.000 0.000 6.884 0.000 0.000 0.000 5.263" Properties=species:S:1:pos:R:3 pbc="T T T"
Fe 0.000 0.000 0.000
Fe 0.000 3.442 1.316
Fe 3.442 0.000 3.947
Fe 3.442 3.442 2.631
Tc 0.000 0.000 2.631
Tc 0.000 3.442 3.947
Tc 3.442 0.000 1.316
Tc 3.442 3.442 0.000
W 1.607 5.163 0.658
W 1.721 1.607 4.605
W 1.721 1.836 1.973
W 1.836 5.163 3.289
W 5.049 1.721 3.289
W 5.163 5.049 1.973
W 5.163 5.278 4.605
W 5.278 1.721 0.658
```

Properties
- Relative energy among the computed polymorphs: 71.4 kJ/mol of atoms
- Formation energy from the elements: 0.84 eV per atom
- Space group: I-42d
- Crystal system: tetragonal

=====

[3]
## YCu2Au (PBE-GGA)

Data for a geometry-optimized YCu2Au structure.

```
12
Lattice="4.338 0.000 0.000 -2.169 3.757 0.000 0.000 0.000 13.768" Properties=species:S:1:pos:R:3 pbc="T T T"
Y 0.000 0.000 0.000
Y 0.000 2.504 9.178
Y 2.169 1.252 4.589
Cu 0.000 0.000 6.421
Cu 0.000 0.000 10.856
Cu 0.000 2.504 1.832
Cu 0.000 2.504 6.267
Cu 2.169 1.252 1.678
Cu 2.169 1.252 11.010
Au 0.000 0.000 2.948
Au 0.000 2.504 12.126
Au 2.169 1.252 7.537
```

Properties
- Relative energy among the computed polymorphs: 0.0 kJ/mol of atoms
- Formation energy from the elements: -0.36 eV per atom
- Space group: R3m
- Crystal system: trigonal

=====

[4]
## PrDy14Tm (PBE-GGA)

Data for a geometry-optimized PrDy14Tm structure.

```
16
Lattice="11.469 0.000 0.000 0.000 3.563 6.172 0.000 -3.563 6.172" Properties=species:S:1:pos:R:3 pbc="T T T"
Pr 0.000 0.000 0.000
Dy 0.000 -1.783 3.090
Dy 0.000 1.783 3.090
Dy 2.861 0.000 4.118
Dy 2.884 -1.777 7.203
Dy 2.884 1.777 7.203
Dy 2.893 0.000 10.284
Dy 5.734 0.000 2.059
Dy 5.734 -1.779 5.142
Dy 5.734 1.779 5.142
Dy 5.734 0.000 8.227
Dy 8.575 0.000 10.284
Dy 8.585 -1.777 7.203
Dy 8.585 1.777 7.203
Dy 8.608 0.000 4.118
Tm 0.000 0.000 6.176
```

Properties
- Formation energy from the elements: 0.00 eV per atom
- Space group: Amm2
- Crystal system: orthorhombic

=====

[5]
## InRh2Br (PBE-GGA)

Data for a geometry-optimized InRh2Br structure.

```
8
Lattice="3.158 0.000 0.000 0.000 5.432 0.000 0.000 0.000 8.577" Properties=species:S:1:pos:R:3 pbc="T T T"
In 0.000 0.000 0.000
In 1.579 2.716 0.000
Rh 0.000 2.716 2.145
Rh 0.000 2.716 6.432
Rh 1.579 0.000 2.145
Rh 1.579 0.000 6.432
Br 0.000 0.000 4.288
Br 1.579 2.716 4.288
```

Properties
- Raw formation energy: 111 kJ/mol of formula units
- Relative energy among the computed polymorphs: 26.8 kJ/mol of atoms
- Space group: Cmmm
- Crystal system: orthorhombic

=====

[6]
## La12Pm3Hg (PBE-GGA)

Data for a geometry-optimized La12Pm3Hg structure.

```
16
Lattice="5.168 0.000 0.000 0.000 5.168 0.000 0.000 0.000 20.927" Properties=species:S:1:pos:R:3 pbc="T T T"
La 0.000 0.000 0.000
La 0.000 0.000 5.158
La 0.000 0.000 10.463
La 0.000 0.000 15.769
La 0.000 2.584 2.520
La 0.000 2.584 7.804
La 0.000 2.584 13.123
La 0.000 2.584 18.407
La 2.584 0.000 2.520
La 2.584 0.000 7.804
La 2.584 0.000 13.123
La 2.584 0.000 18.407
Pm 2.584 2.584 5.145
Pm 2.584 2.584 10.463
Pm 2.584 2.584 15.782
Hg 2.584 2.584 0.000
```

Properties
- Formation energy from the elements: -0.04 eV per atom
- Space group: P4/mmm
- Crystal system: tetragonal

=====

Number 1: raw total energy -3.648 eV/atom. Number 2: raw total energy -10.341 eV/atom. Number 3: raw total energy -4.846 eV/atom. Number 4: raw total energy -4.601 eV/atom. Number 5: raw total energy -4.490 eV/atom. Number 6: raw total energy -4.642 eV/atom.